A relaxed structure of La2HgAs2. Source: Alexandria via LeMat-Bulk, functional PBE-GGA.

a = 5.966 Å, b = 5.966 Å, c = 8.682 Å
α = 90.00°, β = 90.00°, γ = 90.00°
Element x y z (fractional)
La: 0.000 0.500 0.250
La: 0.000 0.500 0.750
La: 0.500 0.000 0.250
La: 0.500 0.000 0.750
Hg: 0.000 0.000 0.000
Hg: 0.500 0.500 0.500
As: 0.000 0.000 0.309
As: 0.000 0.000 0.691
As: 0.500 0.500 0.191
As: 0.500 0.500 0.809

## Properties
* density: 6.75 g/cm³


A relaxed structure of Pr3Tm2Cd. Source: Alexandria via LeMat-Bulk, functional PBE-GGA.

a = 3.666 Å, b = 3.666 Å, c = 14.250 Å
α = 90.00°, β = 90.00°, γ = 90.00°
Element x y z (fractional)
Pr: 0.000 0.000 0.000
Pr: 0.000 0.000 0.349
Pr: 0.000 0.000 0.651
Tm: 0.500 0.500 0.173
Tm: 0.500 0.500 0.827
Cd: 0.500 0.500 0.500

## Properties
* density: 7.57 g/cm³


A relaxed structure of HfZrCdC. Source: Alexandria via LeMat-Bulk, functional PBE-GGA.

a = 3.314 Å, b = 3.314 Å, c = 23.028 Å
α = 90.00°, β = 90.00°, γ = 120.00°
Element x y z (fractional)
Hf: 0.000 0.000 0.000
Hf: 0.333 0.667 0.667
Hf: 0.667 0.333 0.333
Zr: 0.000 0.000 0.775
Zr: 0.333 0.667 0.441
Zr: 0.667 0.333 0.108
Cd: 0.000 0.000 0.554
Cd: 0.333 0.667 0.221
Cd: 0.667 0.333 0.888
C: 0.000 0.000 0.384
C: 0.333 0.667 0.051
C: 0.667 0.333 0.718

## Properties
* density: 8.96 g/cm³


| no. | DOS at the Fermi energy (states/eV per cell) | magnetic moment (μB/f.u.) | formation energy (eV/atom) |
| --- | --- | --- | --- |
| 1 | 10.889 | 0.00 | -0.763 |
| 2 | 8.527 | 0.00 | -0.078 |
| 3 | 7.644 | 0.00 | -0.541 |